The following is a DFT calculation (PBEsol) of AlCd2I after structural relaxation.

Cell: 7.486 7.486 7.486 Å, 90.00 90.00 90.00°
Space group Fm-3m (No. 225)
Asymmetric unit:
Al  0.000  0.000  0.000 [4 per cell]
Cd  0.250  0.250  0.250 [8 per cell]
I  0.000  0.000  0.500 [4 per cell]

Results
Formation energy without anion corrections   1.52 eV/f.u.
Crystal system   cubic

=====

The following is a DFT calculation (PBEsol) of InReRu2 after structural relaxation.

Cell: 4.516 4.516 2.952 Å, 90.00 90.00 90.00°
Space group P4/mmm (No. 123)
Asymmetric unit:
In  0.000  0.000  0.000 [1 per cell]
Re  0.500  0.500  0.000 [1 per cell]
Ru  0.000  0.500  0.500 [2 per cell]

Results
Crystal system   tetragonal
DFT formation energy   0.37 eV per atom

=====

The following is a DFT calculation (PBEsol) of ZnP after structural relaxation.

Cell: 2.6180 2.6180 9.6747 Å, 90.00 90.00 120.00°
Space group P-3m1 (No. 164)
Asymmetric unit:
Zn  0.3333  0.6667  0.1258 [2 per cell]
P  0.3333  0.6667  0.6260 [2 per cell]

Results
Crystal system   trigonal
DFT formation energy   0.35 eV per atom

=====

The following is a DFT calculation (PBEsol) of ZnNiMoAs2 after structural relaxation.

Cell: 4.484 4.484 4.347 Å, 90.00 90.00 90.00°
Space group P4/mmm (No. 123)
Asymmetric unit:
Zn  0.000  0.000  0.000 [1 per cell]
Ni  0.000  0.000  0.500 [1 per cell]
Mo  0.500  0.500  0.000 [1 per cell]
As  0.000  0.500  0.500 [2 per cell]

Results
Crystal system   tetragonal
DFT formation energy   0.77 eV per atom

=====

| no. | theoretical density (g/cm³) |
| --- | --- |
| 1 | 6.00 |
| 2 | 13.88 |
| 3 | 5.57 |
| 4 | 7.03 |